Compound: RbCuI
Source: Alexandria via LeMat-Bulk
Functional: GGA-PBE
Structure: relaxed

Properties
Final energy: -23.59 eV for the cell shown
Calculated volume: 37.33 A^3/atom
ΔE_f (raw): -1.25 eV per formula unit

Unit cell a=7.5104 b=7.5104 c=6.8770 alpha=90.00 beta=90.00 gamma=120.00
Atoms (fractional coordinates):
1 Rb 0.0000 0.5976 0.3333
2 Rb 0.4024 0.4024 0.0000
3 Rb 0.5976 0.0000 0.6667
4 Cu 0.0000 0.9095 0.8333
5 Cu 0.0905 0.0905 0.5000
6 Cu 0.9095 0.0000 0.1667
7 I 0.0000 0.5523 0.8333
8 I 0.4477 0.4477 0.5000
9 I 0.5523 0.0000 0.1667



Compound: Rb4CuI5
Source: Alexandria via LeMat-Bulk
Functional: GGA-PBE
Structure: relaxed

Properties
Final energy: -26.97 eV for the cell shown
Calculated volume: 46.39 A^3/atom
ΔE_f (raw): -11.26 eV per formula unit

Unit cell a=8.7327 b=8.7327 c=8.7327 alpha=100.41 beta=100.41 gamma=129.69
Atoms (fractional coordinates):
1 Rb 0.0897 0.6995 0.7892
2 Rb 0.3005 0.0897 0.3902
3 Rb 0.6995 0.9103 0.6098
4 Rb 0.9103 0.3005 0.2108
5 Cu 0.4204 0.4204 0.0000
6 I 0.0730 0.0730 0.0000
7 I 0.2495 0.4201 0.6611
8 I 0.4201 0.7590 0.1706
9 I 0.5884 0.2495 0.8294
10 I 0.7590 0.5884 0.3389



Compound: Rb5Cu2I12
Source: Alexandria via LeMat-Bulk
Functional: GGA-PBE
Structure: relaxed

Properties
Final energy: -45.23 eV for the cell shown
Calculated volume: 49.59 A^3/atom
ΔE_f (raw): -13.59 eV per formula unit

Unit cell a=11.0608 b=11.0608 c=10.1095 alpha=104.58 beta=104.58 gamma=52.54
Atoms (fractional coordinates):
1 Rb 0.0000 0.0000 0.0000
2 Rb 0.2914 0.2914 0.6376
3 Rb 0.3126 0.3126 0.1411
4 Rb 0.6874 0.6874 0.8589
5 Rb 0.7086 0.7086 0.3624
6 Cu 0.3592 0.6408 0.5000
7 Cu 0.6408 0.3592 0.5000
8 I 0.0780 0.6171 0.9081
9 I 0.1133 0.6461 0.4321
10 I 0.1451 0.1451 0.8243
11 I 0.3539 0.8867 0.5679
12 I 0.3829 0.9220 0.0919
13 I 0.4860 0.4860 0.7120
14 I 0.5140 0.5140 0.2880
15 I 0.6171 0.0780 0.9081
16 I 0.6461 0.1133 0.4321
17 I 0.8549 0.8549 0.1757
18 I 0.8867 0.3539 0.5679
19 I 0.9220 0.3829 0.0919



Compound: RbCuI2
Source: Alexandria via LeMat-Bulk
Functional: GGA-PBE
Structure: relaxed

Properties
Final energy: -10.52 eV for the cell shown
ΔE to the lowest computed polymorph: 199 meV per atom
Calculated volume: 34.74 A^3/atom
ΔE_f (raw): -2.36 eV per formula unit

Unit cell a=8.5018 b=8.5018 c=8.5018 alpha=30.34 beta=30.34 gamma=30.34
Atoms (fractional coordinates):
1 Rb 0.0000 0.0000 0.0000
2 Cu 0.1753 0.1753 0.1753
3 I 0.5582 0.5582 0.5582
4 I 0.7682 0.7682 0.7682



Compound: Rb5CuI6
Source: Alexandria via LeMat-Bulk
Functional: GGA-PBE
Structure: relaxed

Properties
Final energy: -32.68 eV for the cell shown
Calculated volume: 50.70 A^3/atom
ΔE_f (raw): -14.44 eV per formula unit

Unit cell a=9.0484 b=9.0484 c=8.9766 alpha=98.09 beta=98.09 gamma=120.34
Atoms (fractional coordinates):
1 Rb 0.0000 0.0000 0.0000
2 Rb 0.1814 0.8186 0.5000
3 Rb 0.3386 0.6614 0.0000
4 Rb 0.6614 0.3386 0.0000
5 Rb 0.8186 0.1814 0.5000
6 Cu 0.5000 0.5000 0.5000
7 I 0.0620 0.3986 0.2319
8 I 0.3230 0.3230 0.6683
9 I 0.3986 0.0620 0.2319
10 I 0.6014 0.9380 0.7681
11 I 0.6770 0.6770 0.3317
12 I 0.9380 0.6014 0.7681



Compound: Rb2CuI7
Source: Alexandria via LeMat-Bulk
Functional: GGA-PBE
Structure: relaxed

Properties
Final energy: -22.65 eV for the cell shown
Calculated volume: 45.60 A^3/atom
ΔE_f (raw): -5.77 eV per formula unit

Unit cell a=8.7012 b=8.7012 c=8.7012 alpha=121.34 beta=121.34 gamma=87.69
Atoms (fractional coordinates):
1 Rb 0.2500 0.7500 0.5000
2 Rb 0.7500 0.2500 0.5000
3 Cu 0.0000 0.0000 0.0000
4 I 0.2003 0.2003 0.0000
5 I 0.2505 0.2505 0.5009
6 I 0.2505 0.7495 0.0000
7 I 0.5000 0.5000 0.0000
8 I 0.7495 0.2505 0.0000
9 I 0.7495 0.7495 0.4991
10 I 0.7997 0.7997 0.0000



Compound: Rb2Cu3I8
Source: Alexandria via LeMat-Bulk
Functional: GGA-PBE
Structure: relaxed

Properties
Final energy: -32.83 eV for the cell shown
Calculated volume: 43.29 A^3/atom
ΔE_f (raw): -6.21 eV per formula unit

Unit cell a=9.4921 b=9.4921 c=7.7915 alpha=113.08 beta=113.08 gamma=64.84
Atoms (fractional coordinates):
1 Rb 0.2243 0.2243 0.3351
2 Rb 0.7757 0.7757 0.6649
3 Cu 0.1902 0.8098 0.5000
4 Cu 0.5000 0.5000 0.0000
5 Cu 0.8098 0.1902 0.5000
6 I 0.1181 0.1181 0.6965
7 I 0.2227 0.6303 0.6966
8 I 0.3393 0.3393 0.0173
9 I 0.3697 0.7773 0.3034
10 I 0.6303 0.2227 0.6966
11 I 0.6607 0.6607 0.9827
12 I 0.7773 0.3697 0.3034
13 I 0.8819 0.8819 0.3035



Compound: Rb3Cu2I8
Source: Alexandria via LeMat-Bulk
Functional: GGA-PBE
Structure: relaxed

Properties
Final energy: -32.42 eV for the cell shown
Calculated volume: 43.10 A^3/atom
ΔE_f (raw): -8.92 eV per formula unit

Unit cell a=11.8011 b=11.8011 c=11.8011 alpha=38.05 beta=38.05 gamma=38.05
Atoms (fractional coordinates):
1 Rb 0.0000 0.0000 0.0000
2 Rb 0.2099 0.2099 0.2099
3 Rb 0.7901 0.7901 0.7901
4 Cu 0.3991 0.3991 0.3991
5 Cu 0.6009 0.6009 0.6009
6 I 0.2205 0.7362 0.7362
7 I 0.2638 0.2638 0.7795
8 I 0.2638 0.7795 0.2638
9 I 0.3222 0.3222 0.3222
10 I 0.6778 0.6778 0.6778
11 I 0.7362 0.2205 0.7362
12 I 0.7362 0.7362 0.2205
13 I 0.7795 0.2638 0.2638



Compound: RbCuI2
Source: Alexandria via LeMat-Bulk
Functional: GGA-PBE
Structure: relaxed

Properties
Final energy: -11.20 eV for the cell shown
ΔE to the lowest computed polymorph: 31 meV per atom
Calculated volume: 60.14 A^3/atom
ΔE_f (raw): -3.03 eV per formula unit

Unit cell a=8.6680 b=8.6680 c=8.6680 alpha=39.82 beta=39.82 gamma=39.82
Atoms (fractional coordinates):
1 Rb 0.0000 0.0000 0.0000
2 Cu 0.5000 0.5000 0.5000
3 I 0.3992 0.3992 0.3992
4 I 0.6008 0.6008 0.6008



Compound: Rb2CuI4
Source: Alexandria via LeMat-Bulk
Functional: GGA-PBE
Structure: relaxed

Properties
Final energy: -37.10 eV for the cell shown
Calculated volume: 43.70 A^3/atom
ΔE_f (raw): -6.32 eV per formula unit

Unit cell a=8.4735 b=7.1000 c=10.6445 alpha=90.00 beta=107.20 gamma=90.00
Atoms (fractional coordinates):
1 Rb 0.1896 0.2500 0.4178
2 Rb 0.2564 0.2500 0.9484
3 Rb 0.7436 0.7500 0.0516
4 Rb 0.8104 0.7500 0.5822
5 Cu 0.2775 0.7500 0.2008
6 Cu 0.7225 0.2500 0.7992
7 I 0.0834 0.7500 0.3560
8 I 0.1312 0.7500 0.9478
9 I 0.4957 0.5070 0.7283
10 I 0.4957 0.9930 0.7283
11 I 0.5043 0.0070 0.2717
12 I 0.5043 0.4930 0.2717
13 I 0.8688 0.2500 0.0522
14 I 0.9166 0.2500 0.6440



Compound: Rb2CuReI6
Source: Alexandria via LeMat-Bulk
Functional: GGA-PBE
Structure: relaxed

Properties
Final energy: -32.04 eV for the cell shown
Calculated volume: 41.66 A^3/atom
ΔE_f (raw): -4.26 eV per formula unit

Unit cell a=8.3232 b=8.3232 c=8.3232 alpha=118.47 beta=118.47 gamma=92.67
Atoms (fractional coordinates):
1 Rb 0.2500 0.7500 0.5000
2 Rb 0.7500 0.2500 0.5000
3 Cu 0.0000 0.0000 0.0000
4 Re 0.5000 0.5000 0.0000
5 I 0.2166 0.2166 0.0000
6 I 0.2739 0.2739 0.5477
7 I 0.2739 0.7261 0.0000
8 I 0.7261 0.2739 0.0000
9 I 0.7261 0.7261 0.4523
10 I 0.7834 0.7834 0.0000



Compound: RbCuS2I
Source: Alexandria via LeMat-Bulk
Functional: GGA-PBE
Structure: relaxed

Properties
Final energy: -14.97 eV for the cell shown
Calculated volume: 33.71 A^3/atom
ΔE_f (raw): -0.11 eV per formula unit

Unit cell a=4.6160 b=4.6160 c=7.9096 alpha=90.00 beta=90.00 gamma=90.00
Atoms (fractional coordinates):
1 Rb 0.0000 0.0000 0.0000
2 Cu 0.0000 0.0000 0.5000
3 S 0.0000 0.5000 0.5000
4 S 0.5000 0.0000 0.5000
5 I 0.5000 0.5000 0.0000



Compound: RbCu4S2I
Source: Alexandria via LeMat-Bulk
Functional: GGA-PBE
Structure: relaxed

Properties
Final energy: -30.03 eV for the cell shown
Calculated volume: 21.38 A^3/atom
ΔE_f (raw): -2.88 eV per formula unit

Unit cell a=4.0016 b=4.0016 c=10.6812 alpha=90.00 beta=90.00 gamma=90.00
Atoms (fractional coordinates):
1 Rb 0.0000 0.0000 0.0000
2 Cu 0.0000 0.5000 0.2941
3 Cu 0.0000 0.5000 0.7059
4 Cu 0.5000 0.0000 0.2941
5 Cu 0.5000 0.0000 0.7059
6 S 0.5000 0.5000 0.1968
7 S 0.5000 0.5000 0.8032
8 I 0.0000 0.0000 0.5000



Compound: RbCuSbI5
Source: Alexandria via LeMat-Bulk
Functional: GGA-PBE
Structure: relaxed

Properties
Final energy: -42.85 eV for the cell shown
Calculated volume: 43.92 A^3/atom
ΔE_f (raw): -4.49 eV per formula unit

Unit cell a=8.3987 b=8.3987 c=11.3184 alpha=104.13 beta=104.13 gamma=105.76
Atoms (fractional coordinates):
1 Rb 0.1425 0.8575 0.7500
2 Rb 0.8575 0.1425 0.2500
3 Cu 0.1955 0.8045 0.2500
4 Cu 0.8045 0.1955 0.7500
5 Sb 0.5000 0.5000 0.0000
6 Sb 0.5000 0.5000 0.5000
7 I 0.1124 0.2681 0.9285
8 I 0.1809 0.5982 0.3886
9 I 0.2681 0.1124 0.4285
10 I 0.4018 0.8191 0.1114
11 I 0.4181 0.5819 0.7500
12 I 0.5819 0.4181 0.2500
13 I 0.5982 0.1809 0.8886
14 I 0.7319 0.8876 0.5715
15 I 0.8191 0.4018 0.6114
16 I 0.8876 0.7319 0.0715



Compound: RbCuSbI2
Source: Alexandria via LeMat-Bulk
Functional: GGA-PBE
Structure: relaxed

Properties
Final energy: -13.55 eV for the cell shown
ΔE to the lowest computed polymorph: 0 meV per atom
Calculated volume: 35.56 A^3/atom
ΔE_f (raw): -1.27 eV per formula unit

Unit cell a=5.9870 b=5.9870 c=4.9604 alpha=90.00 beta=90.00 gamma=90.00
Atoms (fractional coordinates):
1 Rb 0.0000 0.0000 0.0000
2 Cu 0.5000 0.5000 0.5000
3 Sb 0.5000 0.5000 0.0000
4 I 0.0000 0.5000 0.5000
5 I 0.5000 0.0000 0.5000



Compound: RbCuSbI2
Source: Alexandria via LeMat-Bulk
Functional: GGA-PBE
Structure: relaxed

Properties
Final energy: -8.33 eV for the cell shown
ΔE to the lowest computed polymorph: 1045 meV per atom
Calculated volume: 65.58 A^3/atom
ΔE_f (raw): 3.96 eV per formula unit

Unit cell a=6.8332 b=6.8332 c=7.0226 alpha=90.00 beta=90.00 gamma=90.00
Atoms (fractional coordinates):
1 Rb 0.0000 0.0000 0.0000
2 Cu 0.5000 0.5000 0.5000
3 Sb 0.0000 0.0000 0.5000
4 I 0.0000 0.5000 0.0000
5 I 0.5000 0.0000 0.0000



Compound: RbCuSb2I
Source: Alexandria via LeMat-Bulk
Functional: GGA-PBE
Structure: relaxed

Properties
Final energy: -15.17 eV for the cell shown
Calculated volume: 41.09 A^3/atom
ΔE_f (raw): -0.31 eV per formula unit

Unit cell a=4.9883 b=4.9883 c=8.2564 alpha=90.00 beta=90.00 gamma=90.00
Atoms (fractional coordinates):
1 Rb 0.0000 0.0000 0.0000
2 Cu 0.5000 0.5000 0.5000
3 Sb 0.0000 0.5000 0.5000
4 Sb 0.5000 0.0000 0.5000
5 I 0.5000 0.5000 0.0000



Compound: RbCuSbI6
Source: Alexandria via LeMat-Bulk
Functional: GGA-PBE
Structure: relaxed

Properties
Final energy: -22.73 eV for the cell shown
Calculated volume: 45.63 A^3/atom
ΔE_f (raw): -4.24 eV per formula unit

Unit cell a=7.4148 b=7.5010 c=8.0302 alpha=94.22 beta=98.82 gamma=110.09
Atoms (fractional coordinates):
1 Rb 0.0000 0.0000 0.0000
2 Cu 0.8043 0.3424 0.4276
3 Sb 0.4221 0.6417 0.5070
4 I 0.0465 0.5802 0.2433
5 I 0.1200 0.3075 0.6224
6 I 0.4428 0.9196 0.7893
7 I 0.4940 0.3699 0.2238
8 I 0.6672 0.9610 0.3250
9 I 0.7421 0.5341 0.7023



Compound: Rb3Cu2SbI9
Source: Alexandria via LeMat-Bulk
Functional: GGA-PBE
Structure: relaxed

Properties
Final energy: -39.29 eV for the cell shown
Calculated volume: 39.20 A^3/atom
ΔE_f (raw): -10.12 eV per formula unit

Unit cell a=8.1935 b=8.1935 c=10.1144 alpha=90.00 beta=90.00 gamma=120.00
Atoms (fractional coordinates):
1 Rb 0.0000 0.0000 0.0000
2 Rb 0.3333 0.6667 0.6787
3 Rb 0.6667 0.3333 0.3213
4 Cu 0.3333 0.6667 0.1427
5 Cu 0.6667 0.3333 0.8573
6 Sb 0.0000 0.0000 0.5000
7 I 0.0000 0.5000 0.0000
8 I 0.1723 0.3446 0.3251
9 I 0.1723 0.8277 0.3251
10 I 0.3446 0.1723 0.6749
11 I 0.5000 0.0000 0.0000
12 I 0.5000 0.5000 0.0000
13 I 0.6554 0.8277 0.3251
14 I 0.8277 0.1723 0.6749
15 I 0.8277 0.6554 0.6749



Compound: RbScCu2I8
Source: Alexandria via LeMat-Bulk
Functional: GGA-PBE
Structure: relaxed

Properties
Final energy: -35.78 eV for the cell shown
Calculated volume: 40.25 A^3/atom
ΔE_f (raw): -7.88 eV per formula unit

Unit cell a=7.1976 b=7.1976 c=10.7375 alpha=107.53 beta=107.53 gamma=68.88
Atoms (fractional coordinates):
1 Rb 0.0000 0.0000 0.0000
2 Sc 0.0000 0.0000 0.5000
3 Cu 0.4232 0.4232 0.6905
4 Cu 0.5768 0.5768 0.3095
5 I 0.1736 0.6836 0.2847
6 I 0.2349 0.2349 0.4787
7 I 0.3164 0.8264 0.7153
8 I 0.3715 0.3715 0.9022
9 I 0.6285 0.6285 0.0978
10 I 0.6836 0.1736 0.2847
11 I 0.7651 0.7651 0.5213
12 I 0.8264 0.3164 0.7153